VASP calculation (PBE+U) on a geometry-optimized NaMnCl2F structure.

Summary:
For the density of states at the Fermi level, the calculation gives 0.00 states/eV per cell. The calculation puts the energy above the lowest structure with this stoichiometry at 0.0456 eV/atom. As for the electronic total energy: -4.709 eV/atom.

abc: 5.1376 5.1376 4.0748
angles: 90.00 90.00 90.00
Closest atoms and distances in Å follow each position.
Fractional positions:
Na 0.0000 0.0000 0.0000  8 Cl 3.28, 4 F 3.63
Mn 0.5000 0.5000 0.5000  2 F 2.04
Cl 0.0000 0.5000 0.5000  2 Mn 2.57
Cl 0.5000 0.0000 0.5000  2 Mn 2.57
F 0.5000 0.5000 0.0000  2 Mn 2.04